1.
Entry from the Alexandria database: crystalline NaGaTe3 at its relaxed geometry (PBE-GGA).

Magnetic moment ... 0.000 μB/atom
E above lowest polymorph ... 0 meV/atom
Formation energy from raw total energies ... -358 meV per atom

```
data_NaGaTe3
_chemical_formula_sum 'Na4 Ga4 Te12'
_cell_length_a 7.477
_cell_length_b 9.085
_cell_length_c 11.657
_cell_angle_alpha 90.00
_cell_angle_beta 109.08
_cell_angle_gamma 90.00
_symmetry_space_group_name_H-M 'P 1 21/c 1'
_symmetry_Int_Tables_number 14
_symmetry_space_group_name_Hall '-P 2ybc'
loop_
_atom_site_label
_atom_site_fract_x
_atom_site_fract_y
_atom_site_fract_z
Na1 0.141 0.175 0.091
Ga1 0.313 0.544 0.878
Te1 0.051 0.051 0.732
Te2 0.229 0.665 0.655
Te3 0.457 0.219 0.457
```

---

2.
Entry from the Alexandria database: crystalline Tm2SiHg at its relaxed geometry (PBE-GGA).

Magnetic moment ... 0.000 μB/atom
Formation energy from raw total energies ... -471 meV per atom

```
data_Tm2SiHg
_chemical_formula_sum 'Tm2 Si1 Hg1'
_cell_length_a 3.617
_cell_length_b 3.617
_cell_length_c 6.987
_cell_angle_alpha 90.00
_cell_angle_beta 90.00
_cell_angle_gamma 90.00
_symmetry_space_group_name_H-M 'P 4/m m m'
_symmetry_Int_Tables_number 123
_symmetry_space_group_name_Hall '-P 4 2'
loop_
_atom_site_label
_atom_site_fract_x
_atom_site_fract_y
_atom_site_fract_z
Tm1 0.000 0.000 0.232
Si1 0.500 0.500 0.000
Hg1 0.500 0.500 0.500
```

---

3.
Entry from the Alexandria database: crystalline Pa4N5O at its relaxed geometry (PBE-GGA).

Magnetic moment ... 0.182 μB/atom
Formation energy from raw total energies ... -1785 meV per atom

```
data_Pa4N5O
_chemical_formula_sum 'Pa8 N10 O2'
_cell_length_a 3.589
_cell_length_b 6.443
_cell_length_c 13.184
_cell_angle_alpha 90.00
_cell_angle_beta 90.00
_cell_angle_gamma 90.00
_symmetry_space_group_name_H-M 'I m m m'
_symmetry_Int_Tables_number 71
_symmetry_space_group_name_Hall '-I 2 2'
loop_
_atom_site_label
_atom_site_fract_x
_atom_site_fract_y
_atom_site_fract_z
Pa1 0.000 0.000 0.219
Pa2 0.000 0.241 0.500
N1 0.000 0.276 0.329
N2 0.000 0.500 0.000
O1 0.000 0.000 0.000
```

---

4.
Entry from the Alexandria database: crystalline CePr5Sb5 at its relaxed geometry (PBE-GGA).

Magnetic moment ... 0.069 μB/atom
Formation energy from raw total energies ... -987 meV per atom

```
data_CePr5Sb5
_chemical_formula_sum 'Ce2 Pr10 Sb10'
_cell_length_a 14.255
_cell_length_b 6.386
_cell_length_c 9.015
_cell_angle_alpha 90.00
_cell_angle_beta 108.53
_cell_angle_gamma 90.00
_symmetry_space_group_name_H-M 'C 1 2/m 1'
_symmetry_Int_Tables_number 12
_symmetry_space_group_name_Hall '-C 2y'
loop_
_atom_site_label
_atom_site_fract_x
_atom_site_fract_y
_atom_site_fract_z
Ce1 0.000 0.000 0.000
Pr1 0.000 0.000 0.500
Pr2 0.167 0.500 0.834
Pr3 0.170 0.500 0.333
Sb1 0.000 0.500 0.000
Sb2 0.165 0.000 0.332
Sb3 0.166 0.000 0.834
```

---

5.
Entry from the Alexandria database: crystalline TbAs2 at its relaxed geometry (PBE-GGA).

Calculated formation energy ... -0.78 eV/atom
Magnetic moment ... 0.000 μB/atom

```
data_TbAs2
_chemical_formula_sum 'Tb2 As4'
_cell_length_a 5.546
_cell_length_b 5.529
_cell_length_c 4.971
_cell_angle_alpha 90.00
_cell_angle_beta 115.44
_cell_angle_gamma 90.00
_symmetry_space_group_name_H-M 'C 1 2/m 1'
_symmetry_Int_Tables_number 12
_symmetry_space_group_name_Hall '-C 2y'
loop_
_atom_site_label
_atom_site_fract_x
_atom_site_fract_y
_atom_site_fract_z
Tb1 0.000 0.000 0.000
As1 0.093 0.500 0.286
```

---

6.
Entry from the Alexandria database: crystalline IrAuC2 at its relaxed geometry (PBE-GGA).

Calculated formation energy ... 2.28 eV/atom
Magnetic moment ... 0.000 μB/atom
E above lowest polymorph ... 1174 meV/atom

```
data_IrAuC2
_chemical_formula_sum 'Ir4 Au4 C8'
_cell_length_a 5.668
_cell_length_b 5.668
_cell_length_c 5.668
_cell_angle_alpha 90.00
_cell_angle_beta 90.00
_cell_angle_gamma 90.00
_symmetry_space_group_name_H-M 'F m -3 m'
_symmetry_Int_Tables_number 225
_symmetry_space_group_name_Hall '-F 4 2 3'
loop_
_atom_site_label
_atom_site_fract_x
_atom_site_fract_y
_atom_site_fract_z
Ir1 0.000 0.000 0.000
Au1 0.000 0.000 0.500
C1 0.250 0.250 0.250
```

---

7.
Entry from the Alexandria database: crystalline LaPu2C at its relaxed geometry (PBE-GGA).

Calculated formation energy ... 1.03 eV/atom
Magnetic moment ... 2.769 μB/atom

```
data_LaPu2C
_chemical_formula_sum 'La3 Pu6 C3'
_cell_length_a 3.6405
_cell_length_b 3.6405
_cell_length_c 29.2367
_cell_angle_alpha 90.00
_cell_angle_beta 90.00
_cell_angle_gamma 120.00
_symmetry_space_group_name_H-M 'R -3 m'
_symmetry_Int_Tables_number 166
_symmetry_space_group_name_Hall '-R 3 2"'
loop_
_atom_site_label
_atom_site_fract_x
_atom_site_fract_y
_atom_site_fract_z
La1 0.0000 0.0000 0.0000
Pu1 0.0000 0.0000 0.4301
C1 0.0000 0.0000 0.5000
```

---

8.
Entry from the Alexandria database: crystalline Mg2Ge at its relaxed geometry (PBE-GGA).

Calculated formation energy ... -0.13 eV/atom
Magnetic moment ... 0.000 μB/atom

```
data_Mg2Ge
_chemical_formula_sum 'Mg4 Ge2'
_cell_length_a 4.6899
_cell_length_b 4.6899
_cell_length_c 6.2239
_cell_angle_alpha 90.00
_cell_angle_beta 90.00
_cell_angle_gamma 120.00
_symmetry_space_group_name_H-M 'P 63/m m c'
_symmetry_Int_Tables_number 194
_symmetry_space_group_name_Hall '-P 6c 2c'
loop_
_atom_site_label
_atom_site_fract_x
_atom_site_fract_y
_atom_site_fract_z
Mg1 0.0000 0.0000 0.0000
Mg2 0.3333 0.6667 0.2500
Ge1 0.3333 0.6667 0.7500
```